Version w
Computed, not measured: a geometry-optimized RbIn3Sn structure at the GGA-PBE level of DFT.

Summary:
Total moment ... 0.0 μB/cell

Cell: 6.1222 6.1222 6.1222 Å, 90.00 90.00 90.00°
Space group Pm-3m (No. 221)
Asymmetric unit:
Rb  0.0000  0.0000  0.0000
In  0.0000  0.0000  0.5000
Sn  0.5000  0.5000  0.5000



Version x
Computed, not measured: a geometry-optimized RbIn3Sn structure at the GGA-PBE level of DFT.

Summary:
Total moment ... 0.0 μB/cell

Cell: 7.2886 7.2917 7.1773 Å, 90.00 120.43 90.00°
Space group Cm (No. 8)
Asymmetric unit:
Rb  0.0000  0.0000  0.0000
In  0.0025  0.2503  0.5044
In  0.3811  0.0000  0.7628
Sn  0.1188  0.5000  0.2371



Version y
Computed, not measured: a geometry-optimized RbIn3Sn structure at the GGA-PBE level of DFT.

Summary:
Total moment ... 0.0 μB/cell

Cell: 5.9535 5.9535 5.9535 Å, 90.00 90.00 90.00°
Space group Pm-3m (No. 221)
Asymmetric unit:
Rb  0.0000  0.0000  0.0000
In  0.0000  0.5000  0.5000
Sn  0.5000  0.5000  0.5000



Version z
Computed, not measured: a geometry-optimized RbIn3Sn structure at the GGA-PBE level of DFT.

Summary:
Total moment ... 0.0 μB/cell

Cell: 16.2843 11.3072 7.4005 Å, 90.00 103.43 90.00°
Space group C2/c (No. 15)
Asymmetric unit:
Rb  0.0000  0.0306  0.2500
Rb  0.0000  0.3573  0.7500
In  0.1860  0.1582  0.0598
In  0.1860  0.1723  0.6257
In  0.1992  0.4798  0.6114
Sn  0.1026  0.3293  0.2865



Which of them is the most stable? Correct choice: version x.



Version w
Computed, not measured: a geometry-optimized Rb2In3Sn5 structure at the GGA-PBE level of DFT.

Summary:
Total moment ... 0.0 μB/cell

Cell: 11.7635 15.1232 7.5101 Å, 90.00 90.00 90.00°
Space group Ibam (No. 72)
Asymmetric unit:
Rb  0.2492  0.1250  0.0000
In  0.0000  0.0000  0.2500
In  0.1247  0.3752  0.0000
Sn  0.0000  0.2496  0.2500
Sn  0.0000  0.5000  0.2500
Sn  0.1259  0.1243  0.5000



Version x
Computed, not measured: a geometry-optimized Rb2In3Sn5 structure at the GGA-PBE level of DFT.

Summary:
Total moment ... 0.0 μB/cell

Cell: 5.3248 5.3248 11.8488 Å, 90.00 90.00 90.00°
Space group P-4m2 (No. 115)
Asymmetric unit:
Rb  0.0000  0.5000  0.2489
In  0.0000  0.0000  0.0000
In  0.0000  0.5000  0.8742
Sn  0.0000  0.0000  0.5000
Sn  0.0000  0.5000  0.6237
Sn  0.5000  0.5000  0.0000
Sn  0.5000  0.5000  0.5000



Which of them is the most stable? Correct choice: version w.



Version w
Computed, not measured: a geometry-optimized RbIn8Sn2 structure at the GGA-PBE level of DFT.

Summary:
Total moment ... 0.0 μB/cell

Cell: 5.7675 5.7675 11.3349 Å, 90.00 90.00 90.00°
Space group P4/mmm (No. 123)
Asymmetric unit:
Rb  0.0000  0.0000  0.0000
In  0.0000  0.5000  0.2271
In  0.0000  0.5000  0.5000
In  0.5000  0.5000  0.3583
Sn  0.0000  0.0000  0.3627



Version x
Computed, not measured: a geometry-optimized RbIn8Sn2 structure at the GGA-PBE level of DFT.

Summary:
Total moment ... 0.0 μB/cell

Cell: 6.2010 6.2010 11.0091 Å, 90.00 90.00 90.00°
Space group P4/mmm (No. 123)
Asymmetric unit:
Rb  0.0000  0.0000  0.0000
In  0.2514  0.2514  0.2940
Sn  0.0000  0.5000  0.5000



Which of them is the most stable? Correct choice: version w.



Version w
Computed, not measured: a geometry-optimized Rb2InSn2 structure at the GGA-PBE level of DFT.

Summary:
Total moment ... 0.0 μB/cell

Cell: 10.6179 10.6179 3.5345 Å, 90.00 90.00 90.00°
Space group P4/mbm (No. 127)
Asymmetric unit:
Rb  0.1998  0.3002  0.0000
In  0.0000  0.0000  0.5000
Sn  0.0952  0.5952  0.5000



Version x
Computed, not measured: a geometry-optimized Rb2InSn2 structure at the GGA-PBE level of DFT.

Summary:
Total moment ... 0.0 μB/cell

Cell: 11.5039 7.7345 9.1837 Å, 90.00 98.30 90.00°
Space group C2/c (No. 15)
Asymmetric unit:
Rb  0.1500  0.1304  0.1403
In  0.0000  0.4493  0.7500
Sn  0.1356  0.3451  0.5065



Which of them is the most stable? Correct choice: version x.